The following is a DFT calculation (PBE) of a geometry-optimized Pr2Er5Sc structure.

Values from the calculation:
Uncorrected energy: -38.4 eV per formula unit
Space group: I4/mmm (139)
V: 31.19 A^3/atom
Excess energy over the best structure of this formula in the dataset: 5 meV/atom
Formation energy: 0.354 eV/f.u.
Density of states at the Fermi level: 13.07 states/eV/f.u.

```
8
Lattice="-2.502 2.502 9.964 2.502 -2.502 9.964 2.502 2.502 -9.964" Properties=species:S:1:pos:R:3 pbc="T T T"
Pr 0.000 0.000 4.982
Pr 0.000 0.000 14.945
Er 0.000 0.000 0.000
Er 2.502 0.000 2.381
Er 2.502 0.000 7.582
Er 0.000 2.502 2.381
Er 0.000 2.502 7.582
Sc 0.000 0.000 9.964
```